No. 1
# La6Mg2CoIr

A relaxed La6Mg2CoIr crystal (PBE, Alexandria).

Values from the calculation:
Total magnetization = 0.0 μB/cell
SG = P-1
E_form = -2.07 eV/f.u.

abc: 7.8826 7.8627 7.6411
angles: 119.13 118.78 93.43
Last column: nearest neighbours and their distance in Å.
Atoms (fractional coordinates):
La  0.7070  0.7112  0.9015  1 Co 2.67, 1 Ir 2.84
La  0.8064  0.8053  0.5152  1 Co 2.67, 1 Ir 2.84
La  0.2928  0.2896  0.0981  1 Co 2.67, 1 Ir 2.84
La  0.7506  0.2537  0.9981  1 Ir 2.85, 1 Co 2.88
La  0.1934  0.1955  0.4845  1 Co 2.67, 1 Ir 2.84
La  0.2492  0.7471  0.0015  1 Ir 2.85, 1 Co 2.88
Mg  0.7488  0.2501  0.4961  8 La 3.58-3.83
Mg  0.2510  0.7507  0.5033  8 La 3.58-3.83
Co  0.9999  0.0004  0.9998  6 La 2.67-2.88
Ir  0.4999  0.5004  0.9998  6 La 2.84-2.85



No. 2
# Tl2TeAs2

A relaxed Tl2TeAs2 crystal (PBE, Alexandria).

Values from the calculation:
Total magnetization = 0.0 μB/cell
ΔE to the lowest computed polymorph = 0.54 eV per formula unit
SG = I4/mmm
E_form (uncorrected) = 142 meV per atom

abc: 6.1538 6.1538 5.9436
angles: 58.82 58.82 90.00
Last column: nearest neighbours and their distance in Å.
Atoms (fractional coordinates):
Tl  0.7500  0.2500  0.5000  4 As 3.19
Tl  0.2500  0.7500  0.5000  4 As 3.19
Te  0.0000  0.0000  0.0000  2 As 2.87
As  0.3543  0.3543  0.2914  1 As 2.36
As  0.6457  0.6457  0.7086  1 As 2.36



No. 3
# K3TiTe3

A relaxed K3TiTe3 crystal (PBE, Alexandria).

Values from the calculation:
Total magnetization = 0.1 μB/cell
ΔE to the lowest computed polymorph = 0.06 eV per formula unit
SG = C2/m
E_form (uncorrected) = -946 meV per atom

abc: 8.5685 8.5685 8.6726
angles: 98.30 98.30 113.93
Last column: nearest neighbours and their distance in Å.
Atoms (fractional coordinates):
K  0.6024  0.6024  0.3680  5 Te 3.34-3.68, 1 K 3.35
K  0.1697  0.8303  0.5000  6 Te 3.51-3.72
K  0.8303  0.1697  0.5000  6 Te 3.51-3.72
K  0.2693  0.7307  0.0000  4 Te 3.53-3.68
K  0.7307  0.2693  0.0000  4 Te 3.53-3.68
K  0.3976  0.3976  0.6320  5 Te 3.34-3.68, 1 K 3.35
Ti  0.8557  0.8557  0.8638  4 Te 2.66-2.68
Ti  0.1443  0.1443  0.1362  4 Te 2.66-2.68
Te  0.8693  0.8693  0.1762  2 Ti 2.68
Te  0.8632  0.5619  0.7236  1 Ti 2.66
Te  0.5619  0.8632  0.7236  1 Ti 2.66
Te  0.1368  0.4381  0.2764  1 Ti 2.66
Te  0.4381  0.1368  0.2764  1 Ti 2.66
Te  0.1307  0.1307  0.8238  2 Ti 2.68



No. 4
# MnCoCl

A relaxed MnCoCl crystal (PBE, Alexandria).

Values from the calculation:
Total magnetization = 5.1 μB/cell
SG = P3m1
E_form (uncorrected) = 162 meV per atom

abc: 3.0630 3.0630 5.5691
angles: 90.00 90.00 120.00
Last column: nearest neighbours and their distance in Å.
Atoms (fractional coordinates):
Cl  0.0000  0.0000  0.9798  3 Mn 2.51, 3 Co 2.76
Co  0.6667  0.3333  0.3608  3 Mn 2.43
Mn  0.3333  0.6667  0.6594  3 Co 2.43, 3 Cl 2.51



No. 5
# LiLa12Al3

A relaxed LiLa12Al3 crystal (PBE, Alexandria).

Values from the calculation:
Total magnetization = 0.0 μB/cell
SG = P4/mmm
E_form = -1.69 eV/f.u.

abc: 4.9949 4.9949 20.1529
angles: 90.00 90.00 90.00
Last column: nearest neighbours and their distance in Å.
Atoms (fractional coordinates):
Li  0.0000  0.0000  0.0000  12 La 3.53-3.66
La  0.5000  0.5000  0.0000  4 Li 3.53, 8 La 3.66
La  0.5000  0.5000  0.2542  8 La 3.49-3.51, 4 Al 3.53
La  0.5000  0.5000  0.5000  8 La 3.52, 4 Al 3.53
La  0.5000  0.5000  0.7458  8 La 3.49-3.51, 4 Al 3.53
La  0.5000  0.0000  0.1331  2 Al 3.46, 8 La 3.49-3.66, 2 Li 3.66
La  0.5000  0.0000  0.3768  8 La 3.51-3.53, 4 Al 3.52-3.55
La  0.5000  0.0000  0.6232  8 La 3.51-3.53, 4 Al 3.52-3.55
La  0.5000  0.0000  0.8669  2 Al 3.46, 8 La 3.49-3.66, 2 Li 3.66
La  0.0000  0.5000  0.1331  2 Al 3.46, 8 La 3.49-3.66, 2 Li 3.66
La  0.0000  0.5000  0.3768  8 La 3.51-3.53, 4 Al 3.52-3.55
La  0.0000  0.5000  0.6232  8 La 3.51-3.53, 4 Al 3.52-3.55
La  0.0000  0.5000  0.8669  2 Al 3.46, 8 La 3.49-3.66, 2 Li 3.66
Al  0.0000  0.0000  0.2517  12 La 3.46-3.55
Al  0.0000  0.0000  0.5000  12 La 3.52-3.53
Al  0.0000  0.0000  0.7483  12 La 3.46-3.55



No. 6
# Sb2AsBr

A relaxed Sb2AsBr crystal (PBE, Alexandria).

Values from the calculation:
Total magnetization = 0.0 μB/cell
ΔE to the lowest computed polymorph = 0.16 eV per formula unit
SG = Pm
E_form (uncorrected) = -14 meV per atom

abc: 5.3384 4.2092 5.7442
angles: 69.42 90.00 90.00
Last column: nearest neighbours and their distance in Å.
Atoms (fractional coordinates):
Sb  0.0000  0.0721  0.0687  2 As 2.71-2.79
Sb  0.5000  0.2592  0.2770  2 Br 2.84-2.97, 2 As 2.91, 2 Sb 3.14
As  0.0000  0.4257  0.3987  4 Sb 2.71-2.91
Br  0.5000  0.7430  0.7556  2 Sb 2.84-2.97



No. 7
# Cd2AgP

A relaxed Cd2AgP crystal (PBE, Alexandria).

Values from the calculation:
Total magnetization = 0.0 μB/cell
SG = Cm
E_form = 0.69 eV/f.u.

abc: 6.5320 6.5320 4.9020
angles: 67.44 67.44 25.46
Last column: nearest neighbours and their distance in Å.
Atoms (fractional coordinates):
Ag  0.2272  0.2272  0.2774  2 P 2.68, 2 Ag 2.88, 4 Cd 2.90
Cd  0.9617  0.9617  0.0358  2 Cd 2.88, 4 P 2.96-2.97, 2 Ag 3.10
Cd  0.7769  0.7769  0.7260  2 Cd 2.88, 4 Ag 2.90
P  0.5342  0.5342  0.4609  2 Ag 2.68, 2 P 2.88, 4 Cd 2.96-2.97



No. 8
# GaMoPS2

A relaxed GaMoPS2 crystal (PBE, Alexandria).

Values from the calculation:
Total magnetization = 2.5 μB/cell
ΔE to the lowest computed polymorph = 4.05 eV per formula unit
SG = P4/mmm
E_form (uncorrected) = 931 meV per atom

abc: 4.6483 4.6483 4.6138
angles: 90.00 90.00 90.00
Last column: nearest neighbours and their distance in Å.
Atoms (fractional coordinates):
P  0.0000  0.0000  0.5000  2 Ga 2.31
Mo  0.5000  0.5000  0.5000  8 S 3.27, 4 P 3.29
S  0.0000  0.5000  0.0000  2 Ga 2.32
S  0.5000  0.0000  0.0000  2 Ga 2.32
Ga  0.0000  0.0000  0.0000  2 P 2.31, 4 S 2.32



No. 9
# GdLuFeAg

A relaxed GdLuFeAg crystal (PBE, Alexandria).

Values from the calculation:
Total magnetization = 5.9 μB/cell
SG = F-43m
E_form = -0.12 eV/f.u.

abc: 4.9442 4.9442 4.9442
angles: 60.00 60.00 60.00
Last column: nearest neighbours and their distance in Å.
Atoms (fractional coordinates):
Gd  0.2500  0.2500  0.2500  4 Ag 3.03, 4 Fe 3.03
Lu  0.7500  0.7500  0.7500  4 Fe 3.03, 4 Ag 3.03
Fe  0.5000  0.5000  0.5000  4 Gd 3.03, 4 Lu 3.03
Ag  0.0000  0.0000  0.0000  4 Lu 3.03, 4 Gd 3.03



No. 10
# TiFe2SnC

A relaxed TiFe2SnC crystal (PBE, Alexandria).

Values from the calculation:
Total magnetization = 4.5 μB/cell
SG = P4/mmm
E_form = -0.70 eV/f.u.

abc: 3.9462 3.9462 4.2416
angles: 90.00 90.00 90.00
Last column: nearest neighbours and their distance in Å.
Atoms (fractional coordinates):
C  0.0000  0.0000  0.0000  4 Fe 1.97, 2 Ti 2.12
Ti  0.0000  0.0000  0.5000  2 C 2.12
Sn  0.5000  0.5000  0.5000  4 Ti 2.79, 8 Fe 2.90
Fe  0.0000  0.5000  0.0000  2 C 1.97
Fe  0.5000  0.0000  0.0000  2 C 1.97



No. 11
# Ti2PtC

A relaxed Ti2PtC crystal (PBE, Alexandria).

Values from the calculation:
Total magnetization = 0.0 μB/cell
SG = R-3m
E_form = -3.27 eV/f.u.

abc: 3.0054 3.0054 6.9968
angles: 77.60 77.60 60.00
Last column: nearest neighbours and their distance in Å.
Atoms (fractional coordinates):
C  0.0000  0.0000  0.0000  6 Ti 2.11
Pt  0.5000  0.5000  0.5000  6 Ti 2.79, 6 Pt 3.01
Ti  0.2742  0.2742  0.1774  3 C 2.11
Ti  0.7258  0.7258  0.8226  3 C 2.11



No. 12
# ReMoAs2Cl

A relaxed ReMoAs2Cl crystal (PBE, Alexandria).

Values from the calculation:
Total magnetization = 5.0 μB/cell
SG = P4/mmm
E_form (uncorrected) = 1088 meV per atom

abc: 4.8287 4.9048 4.8287
angles: 90.00 90.00 90.00
Last column: nearest neighbours and their distance in Å.
Atoms (fractional coordinates):
Re  0.0000  0.0000  0.0000  4 As 2.41, 2 Cl 2.45
Mo  0.5000  0.5000  0.5000  4 Cl 3.41, 8 As 3.44
As  0.0000  0.0000  0.5000  2 Re 2.41
As  0.5000  0.0000  0.0000  2 Re 2.41
Cl  0.0000  0.5000  0.0000  2 Re 2.45